10
Lattice="4.072 0.000 0.000 0.000 4.072 0.000 0.000 0.000 14.153" Properties=species:S:1:pos:R:3 comment="ThNpAs2O (PBE-GGA, relaxed)" space_group="P4/nmm, No. 129" e_form_raw_ev_per_fu=-7.529 total_energy_ev_per_atom=-8.43 pbc="T T T"
O 2.036 2.036 7.077
O 0.000 0.000 7.077
As 0.000 2.036 1.349
As 0.000 2.036 9.525
As 2.036 0.000 4.628
As 2.036 0.000 12.804
Th 2.036 0.000 1.760
Th 0.000 2.036 12.393
Np 2.036 0.000 8.210
Np 0.000 2.036 5.944